Computed, not measured: a relaxed structure of BaPmVO4 at the GGA+U level of DFT.

The value obtained for the total energy is -7.448 eV per atom.

The structure belongs to space group P2_1/m (No. 11); the cell edges are 6.105, 5.958 and 7.267 Å and the angles 90.00°, 108.62° and 90.00°. The inequivalent atoms are Ba at (0.217, 0.250, 0.437), Pm at (0.316, 0.250, 0.962), V at (0.225, 0.750, 0.170), O at (0.009, 0.750, 0.922), O at (0.029, 0.750, 0.329) and O at (0.466, 0.520, 0.201).